[1]
The following is a PBE-GGA calculation of SrAc6Sm2 after structural relaxation, from Alexandria.

The structure in POSCAR format:
```
SrAc6Sm2
1.0
6.6716 0.0000 0.0000
-3.3358 5.7778 0.0000
0.0000 0.0000 12.3999
Sr Ac Sm
1 6 2
Direct
0.0000 0.0000 0.0000
0.0000 0.3305 0.2701
0.0000 0.6695 0.7299
0.3305 0.0000 0.2701
0.3305 0.3305 0.7299
0.6695 0.0000 0.7299
0.6695 0.6695 0.2701
0.3333 0.6667 0.5000
0.6667 0.3333 0.5000
```

ΔE_f (eV per formula unit): 4.3
SG: P-31m (162)

---

[2]
The following is a PBE-GGA calculation of Tl4Sn4Bi after structural relaxation, from Alexandria.

The structure in POSCAR format:
```
Tl4Sn4Bi
1.0
-2.4972 5.1777 5.2428
2.4972 -5.1777 5.2428
2.4972 5.1777 -5.2428
Tl Sn Bi
4 4 1
Direct
0.1703 0.5000 0.6703
0.1716 0.1716 0.0000
0.8284 0.8284 0.0000
0.8297 0.5000 0.3297
0.1781 0.8390 0.3391
0.5001 0.1610 0.3391
0.4999 0.8390 0.6609
0.8219 0.1610 0.6609
0.5000 0.5000 0.0000
```

ΔE_f (eV per formula unit): 0.3
SG: Immm (71)

---

[3]
The following is a PBE-GGA calculation of CdNi2W after structural relaxation, from Alexandria.

The structure in POSCAR format:
```
CdNi2W
1.0
1.3956 0.8058 8.7076
-1.3956 0.8058 8.7076
0.0000 -1.6116 8.7076
Cd Ni W
1 2 1
Direct
0.0000 0.0000 0.0000
0.2450 0.2450 0.2450
0.7550 0.7550 0.7550
0.5000 0.5000 0.5000
```

ΔE_f (eV per formula unit): 0.8
SG: R-3m (166)

---

[4]
The following is a PBE-GGA calculation of Pr12Al5Ag3 after structural relaxation, from Alexandria.

The structure in POSCAR format:
```
Pr12Al5Ag3
1.0
-8.9759 8.9759 8.9759
8.9759 -8.9759 8.9759
8.9759 8.9759 -8.9759
Pr Al Ag
48 20 12
Direct
0.0564 0.2220 0.1320
0.0564 0.3344 0.9244
0.0756 0.6320 0.4100
0.0756 0.9436 0.6656
0.0900 0.7220 0.6656
0.0900 0.8680 0.4244
0.1320 0.0564 0.2220
0.1320 0.5756 0.9100
0.1656 0.2220 0.5900
0.1656 0.4436 0.5756
0.2220 0.1320 0.0564
0.2220 0.5900 0.1656
0.2780 0.3344 0.9100
0.2780 0.4436 0.3680
0.3344 0.9100 0.2780
0.3344 0.9244 0.0564
0.3680 0.2780 0.4436
0.3680 0.5900 0.9244
0.4100 0.0756 0.6320
0.4100 0.8344 0.7780
0.4244 0.0900 0.8680
0.4244 0.8344 0.5564
0.4436 0.3680 0.2780
0.4436 0.5756 0.1656
0.5564 0.4244 0.8344
0.5564 0.6320 0.7220
0.5756 0.1656 0.4436
0.5756 0.9100 0.1320
0.5900 0.1656 0.2220
0.5900 0.9244 0.3680
0.6320 0.4100 0.0756
0.6320 0.7220 0.5564
0.6656 0.0756 0.9436
0.6656 0.0900 0.7220
0.7220 0.5564 0.6320
0.7220 0.6656 0.0900
0.7780 0.4100 0.8344
0.7780 0.8680 0.9436
0.8344 0.5564 0.4244
0.8344 0.7780 0.4100
0.8680 0.4244 0.0900
0.8680 0.9436 0.7780
0.9100 0.1320 0.5756
0.9100 0.2780 0.3344
0.9244 0.0564 0.3344
0.9244 0.3680 0.5900
0.9436 0.6656 0.0756
0.9436 0.7780 0.8680
0.0000 0.0000 0.0000
0.0000 0.0000 0.5000
0.0000 0.5000 0.0000
0.0000 0.5000 0.5000
0.1250 0.7500 0.8750
0.1250 0.8750 0.2500
0.2500 0.1250 0.8750
0.2500 0.6250 0.3750
0.3750 0.2500 0.6250
0.3750 0.6250 0.7500
0.5000 0.0000 0.0000
0.5000 0.0000 0.5000
0.5000 0.5000 0.0000
0.5000 0.5000 0.5000
0.6250 0.3750 0.2500
0.6250 0.7500 0.3750
0.7500 0.3750 0.6250
0.7500 0.8750 0.1250
0.8750 0.1250 0.7500
0.8750 0.2500 0.1250
0.1250 0.2500 0.3750
0.1250 0.3750 0.7500
0.2500 0.3750 0.1250
0.2500 0.8750 0.6250
0.3750 0.1250 0.2500
0.3750 0.7500 0.1250
0.6250 0.2500 0.8750
0.6250 0.8750 0.7500
0.7500 0.1250 0.3750
0.7500 0.6250 0.8750
0.8750 0.6250 0.2500
0.8750 0.7500 0.6250
```

ΔE_f (eV per formula unit): 6.5
SG: Ia-3d (230)

---

[5]
The following is a PBE-GGA calculation of Cs2MnAg2Br6 after structural relaxation, from Alexandria.

The structure in POSCAR format:
```
Cs2MnAg2Br6
1.0
4.0872 2.3597 6.8037
-4.0872 2.3597 6.8037
0.0000 -4.7195 6.8037
Cs Mn Ag Br
2 1 2 6
Direct
0.2349 0.2349 0.2349
0.7651 0.7651 0.7651
0.0000 0.0000 0.0000
0.4254 0.4254 0.4254
0.5746 0.5746 0.5746
0.2164 0.7687 0.7687
0.2313 0.2313 0.7836
0.2313 0.7836 0.2313
0.7687 0.2164 0.7687
0.7687 0.7687 0.2164
0.7836 0.2313 0.2313
```

Formation energy without anion corrections (meV per atom): -970
SG: R-3m (166)

---

[6]
The following is a PBE-GGA calculation of CaScAl2 after structural relaxation, from Alexandria.

The structure in POSCAR format:
```
CaScAl2
1.0
5.6377 -1.6309 0.0000
5.6377 1.6309 0.0000
-1.7608 0.0000 4.9251
Ca Sc Al
1 1 2
Direct
0.0000 0.0000 0.0000
0.2104 0.2104 0.6548
0.4533 0.4533 0.4802
0.7601 0.7601 0.1872
```

ΔE_f (eV per formula unit): -0.7
SG: Cm (8)

---

The following total moment values (in μB/cell) correspond, in order, to the records above: 0.00 0.00 0.00 0.00 5.00 0.00.